1.
NaTcO3 | PBE | optimized geometry

```
10
Lattice="2.695 1.556 4.396 -2.695 1.556 4.396 0.000 -3.111 4.396" Properties=species:S:1:pos:R:3 pbc="T T T"
Na 0.000 0.000 3.297
Na 0.000 0.000 9.891
Tc 0.000 0.000 0.000
Tc 0.000 0.000 6.594
O -1.497 0.519 5.495
O -1.198 -1.036 7.693
O 0.299 -1.556 5.495
O -0.299 1.556 7.693
O 1.198 1.036 5.495
O 1.497 -0.519 7.693
```

Properties
Total DFT energy (no corrections)   -6.866 eV per atom
Total moment   0.014 μB per formula unit
Calculated density   5.08 g cm⁻³

---

2.
TaZnNiBi | PBE | optimized geometry

```
4
Lattice="0.000 3.291 3.291 3.291 0.000 3.291 3.291 3.291 0.000" Properties=species:S:1:pos:R:3 pbc="T T T"
Ta 0.000 0.000 0.000
Zn 4.937 4.937 4.937
Ni 3.291 3.291 3.291
Bi 1.646 1.646 1.646
```

Properties
Total DFT energy (no corrections)   -5.145 eV per atom
Total moment   0.468 μB per formula unit
Calculated density   11.97 g cm⁻³

---

3.
CuSeS | PBE | optimized geometry

```
6
Lattice="4.867 0.000 0.000 0.000 3.717 0.000 -0.012 0.000 6.084" Properties=species:S:1:pos:R:3 pbc="T T T"
Cu 0.000 0.000 0.000
Cu 2.428 1.858 3.042
Se 0.917 0.000 2.325
Se 3.938 0.000 3.759
S 1.595 1.858 5.480
S 3.260 1.858 0.604
```

Properties
Calculated density   5.27 g cm⁻³
Excess energy over the best structure of this formula in the dataset   6 meV per atom

---

4.
BaCuBi | PBE | optimized geometry

```
6
Lattice="4.767 0.000 0.000 -2.383 4.128 0.000 0.000 0.000 9.650" Properties=species:S:1:pos:R:3 pbc="T T T"
Ba 0.000 0.000 0.000
Ba 0.000 0.000 4.825
Cu 0.000 2.752 2.413
Cu 2.383 1.376 7.238
Bi 0.000 2.752 7.238
Bi 2.383 1.376 2.413
```

Properties
Total DFT energy (no corrections)   -3.787 eV per atom
Calculated density   7.17 g cm⁻³

---

5.
K2Ga3SnPt2 | PBE | optimized geometry

```
8
Lattice="6.280 -2.159 0.000 6.280 2.159 0.000 -0.114 0.000 7.494" Properties=species:S:1:pos:R:3 pbc="T T T"
K 0.000 0.000 0.000
K 1.135 0.000 3.838
Ga 4.417 0.000 5.137
Ga 4.614 0.000 2.319
Ga 9.223 0.000 6.053
Sn 8.939 0.000 1.487
Pt 3.308 0.000 7.455
Pt 10.452 0.000 3.776
```

Properties
Total DFT energy (no corrections)   -3.865 eV per atom
Total moment   0.001 μB per formula unit
Calculated density   6.51 g cm⁻³

---

6.
Zr4GeAsN2 | PBE | optimized geometry

```
8
Lattice="3.372 0.000 0.000 -1.686 2.920 0.000 0.000 0.000 12.999" Properties=species:S:1:pos:R:3 pbc="T T T"
Zr 0.000 0.000 1.932
Zr 0.000 0.000 11.067
Zr 1.686 0.973 4.397
Zr 1.686 0.973 8.601
Ge 0.000 0.000 6.499
As 1.686 0.973 0.000
N 0.000 1.947 3.184
N 0.000 1.947 9.815
```

Properties
Total DFT energy (no corrections)   -8.760 eV per atom
Total moment   0.006 μB per formula unit
Calculated density   7.01 g cm⁻³

---

7.
NpScAg | PBE | optimized geometry

```
3
Lattice="0.000 3.340 3.340 3.340 0.000 3.340 3.340 3.340 0.000" Properties=species:S:1:pos:R:3 pbc="T T T"
Np 0.000 0.000 0.000
Sc 5.009 5.009 5.009
Ag 3.340 3.340 3.340
```

Properties
Formation energy from the elements   251 kJ/mol of formula units
Total moment   5.083 μB per formula unit
Calculated density   8.69 g cm⁻³

---

8.
NbCoAs | PBE | optimized geometry

```
9
Lattice="7.123 0.000 0.000 -3.562 6.169 0.000 0.000 0.000 3.076" Properties=species:S:1:pos:R:3 pbc="T T T"
Nb -1.022 1.770 0.000
Nb 2.044 0.000 0.000
Nb 2.540 4.399 0.000
Co -2.236 3.872 1.538
Co 1.326 2.297 1.538
Co 4.471 0.000 1.538
As 0.000 0.000 1.538
As 0.000 4.113 0.000
As 3.562 2.056 0.000
```

Properties
Total DFT energy (no corrections)   -7.330 eV per atom
Total moment   0.680 μB per formula unit
Calculated density   8.36 g cm⁻³

---

Among the records above, which one has the lowest calculated density? NaTcO3

---

Look up the calculated density of the seventh one. 8.69 g cm⁻³

---

The highest calculated density belongs to which entry? TaZnNiBi